[1]
Material: Mn3TcCl
Method: DFT, PBE
State: optimized geometry

The structure belongs to space group Pm-3m (No. 221); the cell edges are 4.815, 4.815 and 4.815 Å and the angles 90.00°, 90.00° and 90.00°. The asymmetric unit holds Mn at (0.000, 0.000, 0.500), Tc at (0.000, 0.000, 0.000) and Cl at (0.500, 0.500, 0.500).

As for the uncorrected formation energy: 1.1022 eV/atom. For the calculated total energy, the calculation gives -34.21 eV/cell.

***

[2]
Material: PbAuO2
Method: DFT, PBE
State: optimized geometry

The structure belongs to space group I-42d (No. 122); the cell edges are 5.307, 5.307 and 10.806 Å and the angles 90.00°, 90.00° and 90.00°. The asymmetric unit holds Pb at (0.000, 0.000, 0.000), Au at (0.000, 0.000, 0.500) and O at (0.225, 0.250, 0.125).

As for the uncorrected formation energy: -0.2455 eV/atom. For the calculated total energy, the calculation gives -71.54 eV/cell.